[1]
# LiPu2FeN4

LiPu2FeN4 after structural relaxation (PBE, the Alexandria database).

The value obtained for the theoretical density is 8.62 g cm⁻³. The uncorrected formation energy is -0.715 eV/atom. The density of states at the Fermi level comes out at 1.494 states/eV per atom.

Unit cell a=3.3972 b=12.1926 c=11.2946 alpha=90.00 beta=90.00 gamma=90.00
With the nearest neighbours (Å) after each atom.
Space group Cmcm (No. 63)
Symmetry-distinct sites (fractional):
Li1 0.0000 0.0122 0.2500  2 N 2.25, 1 Fe 2.46
Pu1 0.0000 0.3700 0.0442  6 N 2.26-2.38
Fe1 0.0000 0.1899 0.7500  4 N 1.82-1.96
N1 0.0000 0.0000 0.0000  4 Pu 2.38
N2 0.0000 0.2408 0.5988  1 Fe 1.82
N3 0.0000 0.3907 0.2500  2 Fe 1.96

=====

[2]
# SrFe2Ru

SrFe2Ru after structural relaxation (PBE, the Alexandria database).

The value obtained for the theoretical density is 5.97 g cm⁻³. The calculation puts the formation energy at 0.305 eV per atom. The density of states at the Fermi level comes out at 0.924 states/eV per atom.

Unit cell a=4.2166 b=4.2166 c=16.2829 alpha=90.00 beta=90.00 gamma=120.00
With the nearest neighbours (Å) after each atom.
Space group R-3m (No. 166, hexagonal axes)
Symmetry-distinct sites (fractional):
Sr1 0.0000 0.0000 0.0000  8 Fe 3.11-3.36
Fe1 0.0000 0.0000 0.1912  3 Ru 2.47, 3 Fe 2.56
Ru1 0.0000 0.0000 0.5000  6 Fe 2.47

=====

[3]
# Tb2Re2Si2B

Tb2Re2Si2B after structural relaxation (PBE, the Alexandria database).

The value obtained for the theoretical density is 10.15 g cm⁻³. The uncorrected formation energy is -0.612 eV/atom. The density of states at the Fermi level comes out at 0.523 states/eV per atom.

Unit cell a=10.8723 b=4.0546 c=6.9569 alpha=90.00 beta=126.11 gamma=90.00
With the nearest neighbours (Å) after each atom.
Space group C2/m (No. 12)
Symmetry-distinct sites (fractional):
Tb1 0.0764 0.0000 0.3047  2 B 2.69
Re1 0.2161 0.5000 0.0907  1 B 2.04
Si1 0.1378 0.5000 0.6746  3 Re 2.49-2.50, 1 Si 2.51
B1 0.0000 0.5000 0.0000  2 Re 2.04

=====

[4]
# SrLa2Tl

SrLa2Tl after structural relaxation (PBE, the Alexandria database).

For the distance to the lowest polymorph of the same formula, the calculation gives 0.240 eV per formula unit. The value obtained for the theoretical density is 6.47 g cm⁻³. The calculation puts the formation energy at -0.117 eV per atom. The density of states at the Fermi level comes out at 1.334 states/eV per atom.

Unit cell a=3.9128 b=4.6841 c=7.9770 alpha=90.00 beta=90.00 gamma=90.00
With the nearest neighbours (Å) after each atom.
Space group Pmmm (No. 47)
Symmetry-distinct sites (fractional):
Sr1 0.0000 0.0000 0.0000  8 La 3.87, 2 Sr 3.91, 2 Tl 3.99
La1 0.5000 0.5000 0.2992  1 La 3.20, 4 Tl 3.45
Tl1 0.0000 0.0000 0.5000  8 La 3.45

=====

[5]
# K6Rb8Pd

K6Rb8Pd after structural relaxation (PBE, the Alexandria database).

The value obtained for the theoretical density is 1.50 g cm⁻³. The calculation puts the formation energy at 0.026 eV per atom. The density of states at the Fermi level comes out at 0.647 states/eV per atom.

Unit cell a=12.8871 b=12.8871 c=23.7242 alpha=90.00 beta=90.00 gamma=120.00
With the nearest neighbours (Å) after each atom.
Space group R-3 (No. 148, hexagonal axes)
Symmetry-distinct sites (fractional):
K1 0.0546 0.8201 0.4197  5 K 4.69-4.93, 7 Rb 4.78-5.02
Rb1 0.0000 0.0000 0.2544  6 K 4.78-4.89, 6 Rb 4.94-4.98
Rb2 0.0437 0.8114 0.9207  1 Pd 3.34
Pd1 0.0000 0.0000 0.0000  6 Rb 3.34

=====

[6]
# NdErMgSc

NdErMgSc after structural relaxation (PBE, the Alexandria database).

For the distance to the lowest polymorph of the same formula, the calculation gives 0.115 eV per formula unit. The value obtained for the theoretical density is 5.61 g cm⁻³. The calculation puts the formation energy at 0.024 eV per atom. The density of states at the Fermi level comes out at 1.149 states/eV per atom.

Unit cell a=7.6697 b=7.6697 c=7.6697 alpha=90.00 beta=90.00 gamma=90.00
With the nearest neighbours (Å) after each atom.
Space group F-43m (No. 216)
Symmetry-distinct sites (fractional):
Nd1 0.0000 0.0000 0.0000  4 Mg 3.32, 4 Sc 3.32
Er1 0.0000 0.0000 0.5000  4 Mg 3.32, 4 Sc 3.32
Mg1 0.2500 0.2500 0.7500  4 Er 3.32, 4 Nd 3.32
Sc1 0.2500 0.2500 0.2500  4 Er 3.32, 4 Nd 3.32

=====

Respective total magnetic moment values: 1.11, 1.42, 0.00, 0.00, 0.00, 0.00 μB per atom.